No. 1
# BeIn2Tc

BeIn2Tc at its PBEsol-relaxed geometry (meta-GGA SCAN, Alexandria).

Cell: 2.8718 4.1808 5.5434 Å, 90.00 90.08 90.00°
Closest atoms and distances in Å follow each position.
Space group P2/m (No. 10)
Asymmetric unit:
Be 0.0000 0.0000 0.0000 (multiplicity 1)  4 In 2.52
In 0.0013 0.5000 0.7470 (multiplicity 2)  2 Be 2.52, 2 In 2.74-2.80
Tc 0.5000 0.0000 0.5000 (multiplicity 1)  2 Tc 2.87, 8 In 2.88, 4 Be 3.12

Crystal system: monoclinic
Energy (eV per atom): -26.09
Energy relative to the elements (eV/atom): 0.456

No. 2
# Be2InTc

Be2InTc at its PBEsol-relaxed geometry (meta-GGA SCAN, Alexandria).

Cell: 3.4683 3.4683 8.3935 Å, 90.00 90.00 90.00°
Closest atoms and distances in Å follow each position.
Space group I-4m2 (No. 119)
Asymmetric unit:
Be 0.0000 0.0000 0.0000 (multiplicity 2)  4 Tc 2.45, 4 In 2.72, 4 Be 2.72
Be 0.0000 0.5000 0.2500 (multiplicity 2)  4 In 2.45, 4 Tc 2.72, 4 Be 2.72
In 0.0000 0.5000 0.7500 (multiplicity 2)  8 Be 2.45-2.72, 4 Tc 2.72
Tc 0.0000 0.0000 0.5000 (multiplicity 2)  8 Be 2.45-2.72, 4 In 2.72

Crystal system: tetragonal
Energy (eV per atom): -19.31
Energy relative to the elements (eV/atom): -0.019

No. 3
# BeIn2Tc

BeIn2Tc at its PBEsol-relaxed geometry (meta-GGA SCAN, Alexandria).

Cell: 2.8854 2.8854 8.0276 Å, 90.00 90.00 90.00°
Closest atoms and distances in Å follow each position.
Space group P4/mmm (No. 123)
Asymmetric unit:
Be 0.0000 0.0000 0.0000 (multiplicity 1)  8 In 2.84, 4 Be 2.89
In 0.5000 0.5000 0.2457 (multiplicity 2)  4 Be 2.84, 4 In 2.89, 4 Tc 2.89
Tc 0.0000 0.0000 0.5000 (multiplicity 1)  4 Tc 2.89, 8 In 2.89

Crystal system: tetragonal
Energy (eV per atom): -26.00
Energy relative to the elements (eV/atom): 0.550

No. 4
# BeIn2Tc

BeIn2Tc at its PBEsol-relaxed geometry (meta-GGA SCAN, Alexandria).

Cell: 3.0333 3.0333 26.0190 Å, 90.00 90.00 120.00°
Closest atoms and distances in Å follow each position.
Space group R3m (No. 160, hexagonal axes)
Asymmetric unit:
Be 0.0000 0.0000 0.0000 (multiplicity 3)  3 Tc 2.33
In 0.0000 0.0000 0.5234 (multiplicity 3)  3 Tc 2.81, 6 In 3.03
In 0.0000 0.0000 0.7485 (multiplicity 3)  3 Be 2.76, 6 In 3.03
Tc 0.0000 0.0000 0.2744 (multiplicity 3)  3 Be 2.33

Crystal system: trigonal
Energy (eV per atom): -26.15
Energy relative to the elements (eV/atom): 0.400

No. 5
# Be2InTc

Be2InTc at its PBEsol-relaxed geometry (meta-GGA SCAN, Alexandria).

Cell: 5.9762 5.9762 5.9762 Å, 90.00 90.00 90.00°
Closest atoms and distances in Å follow each position.
Space group F-43m (No. 216)
Asymmetric unit:
Be 0.0000 0.0000 0.0000 (multiplicity 4)  4 Tc 2.59, 4 Be 2.59
Be 0.2500 0.2500 0.2500 (multiplicity 4)  4 In 2.59, 4 Be 2.59
In 0.0000 0.0000 0.5000 (multiplicity 4)  4 Tc 2.59, 4 Be 2.59
Tc 0.2500 0.2500 0.7500 (multiplicity 4)  4 In 2.59, 4 Be 2.59

Crystal system: cubic
Energy (eV per atom): -18.85
Energy relative to the elements (eV/atom): 0.440

No. 6
# Be2InTe

Be2InTe at its PBEsol-relaxed geometry (meta-GGA SCAN, Alexandria).

Cell: 3.5224 5.7553 7.6244 Å, 90.00 90.00 90.00°
Closest atoms and distances in Å follow each position.
Space group Immm (No. 71)
Asymmetric unit:
Be 0.0000 0.0000 0.2372 (multiplicity 4)  2 Te 2.52, 2 In 2.67
In 0.0000 0.5000 0.0000 (multiplicity 2)  4 Be 2.67
Te 0.0000 0.5000 0.5000 (multiplicity 2)  4 Be 2.52

Crystal system: orthorhombic
Formation energy from raw total energies (kJ per mole of atoms): 60.7
Energy (eV per atom): -19.21
Energy above the lowest structure with this stoichiometry (eV/f.u.): 1.21